Entry 1:
Crystalline LiPuAlF6 at its relaxed geometry. Source: the Alexandria database, functional GGA-PBE.

abc: 5.7902 5.7902 8.2630
angles: 90.00 90.00 120.00
Closest atoms and distances in Å follow each position.
Element x y z (fractional)
1 Li 0.0000 0.0000 0.0000  6 F 2.32
2 Li 0.0000 0.0000 0.5000  6 F 2.32
3 Pu 0.3333 0.6667 0.2500  6 F 2.48
4 Pu 0.6667 0.3333 0.7500  6 F 2.48
5 Al 0.3333 0.6667 0.7500  6 F 1.84
6 Al 0.6667 0.3333 0.2500  6 F 1.84
7 F 0.0824 0.3932 0.6242  1 Al 1.84
8 F 0.0824 0.6892 0.8758  1 Al 1.84
9 F 0.3108 0.3932 0.8758  1 Al 1.84
10 F 0.3108 0.9176 0.6242  1 Al 1.84
11 F 0.3932 0.0824 0.1242  1 Al 1.84
12 F 0.3932 0.3108 0.3758  1 Al 1.84
13 F 0.6068 0.6892 0.6242  1 Al 1.84
14 F 0.6068 0.9176 0.8758  1 Al 1.84
15 F 0.6892 0.0824 0.3758  1 Al 1.84
16 F 0.6892 0.6068 0.1242  1 Al 1.84
17 F 0.9176 0.3108 0.1242  1 Al 1.84
18 F 0.9176 0.6068 0.3758  1 Al 1.84

Values from the calculation:
The crystal system is trigonal. As for the volume: 13.33 Å³ per atom. The space-group type is P-31c (163).

Entry 2:
Crystalline RbLiAl2F8 at its relaxed geometry. Source: the Alexandria database, functional GGA-PBE.

abc: 8.3792 8.3792 8.3792
angles: 36.20 36.20 36.20
Closest atoms and distances in Å follow each position.
Element x y z (fractional)
1 Rb 0.0000 0.0000 0.0000  12 F 3.06-3.32
2 Li 0.5000 0.5000 0.5000  6 F 2.06
3 Al 0.2356 0.2356 0.2356  4 F 1.70-1.71
4 Al 0.7644 0.7644 0.7644  4 F 1.70-1.71
5 F 0.1103 0.4825 0.7571  1 Al 1.70
6 F 0.2429 0.8897 0.5175  1 Al 1.70
7 F 0.3087 0.3087 0.3087  1 Al 1.71
8 F 0.4825 0.7571 0.1103  1 Al 1.70
9 F 0.5175 0.2429 0.8897  1 Al 1.70
10 F 0.6913 0.6913 0.6913  1 Al 1.71
11 F 0.7571 0.1103 0.4825  1 Al 1.70
12 F 0.8897 0.5175 0.2429  1 Al 1.70

Values from the calculation:
The crystal system is trigonal. As for the volume: 15.30 Å³ per atom. The space-group type is R-3 (148).

Entry 3:
Crystalline RbLiAlF6 at its relaxed geometry. Source: the Alexandria database, functional GGA-PBE.

abc: 7.1227 7.1227 7.1227
angles: 121.50 119.94 88.76
Closest atoms and distances in Å follow each position.
Element x y z (fractional)
1 Rb 0.3872 0.1372 0.2500  5 F 2.84-3.04
2 Rb 0.6128 0.8628 0.7500  5 F 2.84-3.04
3 Li 0.0000 0.0000 0.5000  6 F 2.03-2.06
4 Li 0.0000 0.5000 0.0000  6 F 2.03-2.06
5 Al 0.0000 0.5000 0.5000  6 F 1.81-1.85
6 Al 0.5000 0.5000 0.0000  6 F 1.81-1.85
7 F 0.0842 0.4431 0.2793  1 Al 1.81
8 F 0.0842 0.8049 0.6411  1 Al 1.81
9 F 0.1079 0.8579 0.2500  2 Li 2.06
10 F 0.2980 0.5480 0.7500  2 Al 1.85
11 F 0.3362 0.1951 0.7793  1 Al 1.81
12 F 0.3362 0.5569 0.1411  1 Al 1.81
13 F 0.6638 0.4431 0.8589  1 Al 1.81
14 F 0.6638 0.8049 0.2207  1 Al 1.81
15 F 0.7020 0.4520 0.2500  2 Al 1.85
16 F 0.8921 0.1421 0.7500  2 Li 2.06
17 F 0.9158 0.1951 0.3589  1 Al 1.81
18 F 0.9158 0.5569 0.7207  1 Al 1.81

Values from the calculation:
The crystal system is orthorhombic. As for the volume: 14.03 Å³ per atom. The space-group type is Imma (74).

Entry 4:
Crystalline Li2ScAlF at its relaxed geometry. Source: the Alexandria database, functional GGA-PBE.

abc: 5.2849 5.2849 3.6924
angles: 90.00 90.00 90.00
Closest atoms and distances in Å follow each position.
Element x y z (fractional)
1 Li 0.0000 0.5000 0.0000  2 Al 2.64
2 Li 0.5000 0.0000 0.0000  2 Al 2.64
3 Sc 0.0000 0.0000 0.5000  8 Li 3.22
4 Al 0.5000 0.5000 0.0000  2 F 1.85
5 F 0.5000 0.5000 0.5000  2 Al 1.85

Values from the calculation:
The crystal system is tetragonal. As for the volume: 20.63 Å³ per atom. The space-group type is P4/mmm (123).

Entry 5:
Crystalline LiScAl2F at its relaxed geometry. Source: the Alexandria database, functional GGA-PBE.

abc: 4.4752 4.4752 4.4518
angles: 90.00 90.00 90.00
Closest atoms and distances in Å follow each position.
Element x y z (fractional)
1 Li 0.0000 0.0000 0.0000  8 Al 3.16, 4 Sc 3.16
2 Sc 0.5000 0.5000 0.0000  2 F 2.23
3 Al 0.0000 0.5000 0.5000  2 F 2.24
4 Al 0.5000 0.0000 0.5000  2 F 2.24
5 F 0.5000 0.5000 0.5000  2 Sc 2.23, 4 Al 2.24

Values from the calculation:
The crystal system is tetragonal. As for the volume: 17.83 Å³ per atom. The space-group type is P4/mmm (123).

Entry 6:
Crystalline LiSc2AlF at its relaxed geometry. Source: the Alexandria database, functional GGA-PBE.

abc: 5.3783 5.3783 3.3001
angles: 90.00 90.00 90.00
Closest atoms and distances in Å follow each position.
Element x y z (fractional)
1 Li 0.0000 0.0000 0.0000  2 F 1.65
2 Sc 0.0000 0.5000 0.0000  2 Li 2.69
3 Sc 0.5000 0.0000 0.0000  2 Li 2.69
4 Al 0.5000 0.5000 0.5000  8 Sc 3.16, 2 Al 3.30
5 F 0.0000 0.0000 0.5000  2 Li 1.65

Values from the calculation:
The crystal system is tetragonal. As for the volume: 19.09 Å³ per atom. The space-group type is P4/mmm (123).

Entry 7:
Crystalline Li2AlSeF at its relaxed geometry. Source: the Alexandria database, functional GGA-PBE.

abc: 4.2639 4.2639 4.5140
angles: 90.00 90.00 90.00
Closest atoms and distances in Å follow each position.
Element x y z (fractional)
1 Li 0.0000 0.5000 0.0000  2 F 2.13
2 Li 0.5000 0.0000 0.0000  2 F 2.13
3 Al 0.0000 0.0000 0.5000  2 F 2.26
4 Se 0.5000 0.5000 0.5000  4 Al 3.02, 8 Li 3.10
5 F 0.0000 0.0000 0.0000  4 Li 2.13, 2 Al 2.26

Values from the calculation:
The crystal system is tetragonal. As for the volume: 16.41 Å³ per atom. The space-group type is P4/mmm (123).

Entry 8:
Crystalline LiAlSnF6 at its relaxed geometry. Source: the Alexandria database, functional GGA-PBE.

abc: 5.1680 5.1680 5.1339
angles: 90.00 90.00 120.00
Closest atoms and distances in Å follow each position.
Element x y z (fractional)
1 Li 0.0000 0.0000 0.0000  6 F 2.05
2 Al 0.3333 0.6667 0.0000  6 F 1.84
3 Sn 0.6667 0.3333 0.5000  6 F 2.45
4 F 0.0518 0.3645 0.2031  1 Al 1.84, 1 Li 2.05
5 F 0.0518 0.6873 0.7969  1 Al 1.84, 1 Li 2.05
6 F 0.3127 0.3645 0.7969  1 Al 1.84, 1 Li 2.05
7 F 0.3127 0.9482 0.2031  1 Al 1.84, 1 Li 2.05
8 F 0.6355 0.6873 0.2031  1 Al 1.84, 1 Li 2.05
9 F 0.6355 0.9482 0.7969  1 Al 1.84, 1 Li 2.05

Values from the calculation:
The crystal system is trigonal. As for the volume: 13.20 Å³ per atom. The space-group type is P312 (149).

no.,total magnetic moment (μB per formula unit),final energy (eV per formula unit)
1,5.94,-59.510
2,0.19,-64.852
3,1.01,-43.526
4,0.36,-17.278
5,0.00,-20.463
6,1.88,-22.608
7,0.00,-18.902
8,0.00,-47.970